Computed, not measured: a geometry-optimized Zn2PtCl structure at the GGA-PBE level of DFT.

M_tot ... 0.00 μB per cell
Uncorrected energy ... -3.075 eV/atom
Fermi-level density of states ... 0.695 states/eV/cell
Formation energy from raw total energies ... -0.466 eV per atom
Polymorph energy (0 for the lowest one) ... 26.7 meV per atom
Calculated density ... 8.410 g/cm³

Geometry as extended XYZ:
```
4
Lattice="3.3932 0.0000 0.0000 0.0000 2.9788 0.0000 -0.0081 0.0000 7.0591" Properties=species:S:1:pos:R:3 pbc="T T T"
Zn 0.0004 0.0000 1.4225
Zn 3.3847 0.0000 5.6366
Pt 1.6966 1.4894 0.0000
Cl -0.0041 1.4894 3.5295
```